Here is an optimized crystal structure of Y2B2Au from OQMD. Energies are from GGA-PBE.

Output
Total moment in μB per formula unit: 0.022
Space-group type: No. 65
Electronic total energy in eV/atom: -6.52

Structure (POSCAR):
```
Y2B2Au
1.0
1.6094 -7.2868 0.0000
1.6094 7.2868 0.0000
0.0000 0.0000 3.6058
Y Au B
2 1 2
Direct
0.3623 0.6377 0.5000
0.6377 0.3623 0.5000
0.0000 0.0000 0.0000
0.7691 0.2309 0.0000
0.2309 0.7691 0.0000
```